# 1
3
Lattice="0.000 3.564 3.564 3.564 0.000 3.564 3.564 3.564 0.000" Properties=species:S:1:pos:R:3 comment="PBE-GGA TbTmNb, relaxed" formation_enthalpy_0k_mev_per_atom=794 polymorph_energy_ev_per_fu=0.00 crystal_system=cubic space_group="F-43m, No. 216" pbc="T T T"
Tb 0.000 0.000 0.000
Tm 3.564 3.564 3.564
Nb 1.782 1.782 1.782

# 2
4
Lattice="0.000 3.159 3.159 3.159 0.000 3.159 3.159 3.159 0.000" Properties=species:S:1:pos:R:3 comment="PBE-GGA HfInCo2, relaxed" crystal_system=cubic space_group="F-43m, No. 216" pbc="T T T"
Hf 0.000 0.000 0.000
In 1.579 1.579 1.579
Co 3.159 3.159 3.159
Co 4.738 4.738 4.738

# 3
3
Lattice="0.000 3.271 3.271 3.271 0.000 3.271 3.271 3.271 0.000" Properties=species:S:1:pos:R:3 comment="PBE-GGA DyZrTc, relaxed" formation_enthalpy_0k_mev_per_atom=677 polymorph_energy_ev_per_fu=0.00 crystal_system=cubic space_group="F-43m, No. 216" pbc="T T T"
Dy 0.000 0.000 0.000
Zr 1.635 1.635 1.635
Tc 3.271 3.271 3.271

# 4
12
Lattice="2.284 -6.498 0.000 2.284 6.498 0.000 0.000 0.000 11.430" Properties=species:S:1:pos:R:3 comment="PBE-GGA NaPrGaSe3, relaxed" crystal_system=orthorhombic space_group="Cmcm, No. 63" pbc="T T T"
Na 2.284 3.290 8.572
Na 2.284 -3.290 2.857
Pr 0.000 0.000 0.000
Pr 0.000 0.000 5.715
Ga 2.284 0.165 2.857
Ga 2.284 -0.165 8.572
Se 2.284 5.492 2.857
Se 2.284 1.792 0.908
Se 2.284 1.792 4.807
Se 2.284 -1.792 6.623
Se 2.284 -1.792 10.522
Se 2.284 -5.492 8.572

# 5
3
Lattice="0.000 3.475 3.475 3.475 0.000 3.475 3.475 3.475 0.000" Properties=species:S:1:pos:R:3 comment="PBE-GGA NaUGe, relaxed" crystal_system=cubic space_group="F-43m, No. 216" pbc="T T T"
Na 0.000 0.000 0.000
U 5.212 5.212 5.212
Ge 3.475 3.475 3.475

# 6
4
Lattice="0.000 3.088 3.088 3.088 0.000 3.088 3.088 3.088 0.000" Properties=species:S:1:pos:R:3 comment="PBE-GGA NbFeSiPt, relaxed" polymorph_energy_ev_per_fu=0.02 crystal_system=cubic space_group="F-43m, No. 216" pbc="T T T"
Nb 0.000 0.000 0.000
Fe 3.088 3.088 3.088
Si 1.544 1.544 1.544
Pt 4.631 4.631 4.631

# 7
4
Lattice="0.000 3.194 3.194 3.194 0.000 3.194 3.194 3.194 0.000" Properties=species:S:1:pos:R:3 comment="PBE-GGA Ta2IrPd, relaxed" formation_enthalpy_0k_mev_per_atom=-188 crystal_system=cubic space_group="F-43m, No. 216" pbc="T T T"
Ta 0.000 0.000 0.000
Ta 1.597 1.597 1.597
Ir 4.791 4.791 4.791
Pd 3.194 3.194 3.194

# 8
9
Lattice="7.128 0.000 0.000 -3.564 6.173 0.000 0.000 0.000 3.757" Properties=species:S:1:pos:R:3 comment="PBE-GGA Er3Zn3Ni2Au, relaxed" formation_enthalpy_0k_mev_per_atom=-530 crystal_system=hexagonal space_group="P-62m, No. 189" pbc="T T T"
Er -1.470 2.546 0.000
Er 2.940 0.000 0.000
Er 2.094 3.627 0.000
Zn -2.606 4.514 1.879
Zn 0.958 1.659 1.879
Zn 5.212 0.000 1.879
Ni 0.000 4.115 1.879
Ni 3.564 2.058 1.879
Au 0.000 0.000 0.000

What E_tot values result from the calculations? In sequence: -5.605; -6.538; -7.159; -4.402; -4.876; -7.681; -9.622; -4.073 eV/atom.